No. 1
Entry from the Alexandria database: a geometry-optimized La2Ga3Ni4Pd structure (PBE).

abc: 4.142 4.142 10.306
angles: 90.00 90.00 90.00
Atoms (fractional coordinates):
La (0.000, 0.500, 0.249)
La (0.500, 0.000, 0.751)
Ga (0.000, 0.000, 0.000)
Ga (0.000, 0.500, 0.619)
Ga (0.500, 0.000, 0.381)
Ni (0.000, 0.000, 0.500)
Ni (0.000, 0.500, 0.855)
Ni (0.500, 0.000, 0.145)
Ni (0.500, 0.500, 0.500)
Pd (0.500, 0.500, 0.000)

Values from the calculation:
**ΔE_f**: -529 meV/atom
**Calculated total energy**: -52.547 eV for the cell shown
**Crystal system**: tetragonal
**Volume**: 177 Å³/cell


No. 2
Entry from the Alexandria database: a geometry-optimized Pm2TmZrP4 structure (PBE).

abc: 6.882 3.971 6.900
angles: 90.00 109.27 90.00
Atoms (fractional coordinates):
Pm (0.000, 0.000, 0.000)
Pm (0.500, 0.500, 0.000)
Tm (0.000, 0.500, 0.500)
Zr (0.500, 0.000, 0.500)
P (0.251, 0.000, 0.734)
P (0.262, 0.500, 0.270)
P (0.738, 0.500, 0.730)
P (0.749, 0.000, 0.266)

Values from the calculation:
**ΔE_f**: -1522 meV/atom
**Calculated total energy**: -56.334 eV for the cell shown
**Crystal system**: monoclinic
**Volume**: 178 Å³/cell


No. 3
Entry from the Alexandria database: a geometry-optimized CsAgP structure (PBE).

abc: 7.148 7.148 7.148
angles: 142.37 110.14 82.17
Atoms (fractional coordinates):
Cs (0.000, 0.000, 0.000)
Cs (0.584, 0.084, 0.500)
Ag (0.085, 0.765, 0.320)
Ag (0.446, 0.765, 0.680)
P (0.185, 0.327, 0.858)
P (0.469, 0.327, 0.142)

Values from the calculation:
**ΔE_f**: -187 meV/atom
**Calculated total energy**: -19.352 eV for the cell shown
**Crystal system**: orthorhombic
**Volume**: 203 Å³/cell